No. 1
First-principles (SCAN) data for CaZn2Ni at its PBEsol-relaxed geometry, as listed in the Alexandria database.

Cell and atoms, written as CIF:
```
data_CaZn2Ni
_chemical_formula_sum 'Ca3 Zn6 Ni3'
_cell_length_a 4.1217
_cell_length_b 4.1217
_cell_length_c 14.9928
_cell_angle_alpha 90.00
_cell_angle_beta 90.00
_cell_angle_gamma 120.00
_symmetry_space_group_name_H-M 'R -3 m'
_symmetry_Int_Tables_number 166
_symmetry_space_group_name_Hall '-R 3 2"'
loop_
_atom_site_label
_atom_site_type_symbol
_atom_site_fract_x
_atom_site_fract_y
_atom_site_fract_z
_atom_site_occupancy
Ca1 Ca 0.0000 0.0000 0.0000 1
Zn1 Zn 0.0000 0.0000 0.1993 1
Ni1 Ni 0.0000 0.0000 0.5000 1
```

Results
The value obtained for the total magnetic moment is 0.000 μB/cell. Its formation energy from the elements is -0.265 eV per atom. As for the calculated volume: 18.382 Å³ per atom.

No. 2
First-principles (SCAN) data for Sc3SbPb at its PBEsol-relaxed geometry, as listed in the Alexandria database.

Cell and atoms, written as CIF:
```
data_Sc3SbPb
_chemical_formula_sum 'Sc3 Sb1 Pb1'
_cell_length_a 5.244
_cell_length_b 5.244
_cell_length_c 5.244
_cell_angle_alpha 90.00
_cell_angle_beta 90.00
_cell_angle_gamma 90.00
_symmetry_space_group_name_H-M 'P m -3 m'
_symmetry_Int_Tables_number 221
_symmetry_space_group_name_Hall '-P 4 2 3'
loop_
_atom_site_label
_atom_site_type_symbol
_atom_site_fract_x
_atom_site_fract_y
_atom_site_fract_z
_atom_site_occupancy
Sc1 Sc 0.000 0.000 0.500 1
Sb1 Sb 0.000 0.000 0.000 1
Pb1 Pb 0.500 0.500 0.500 1
```

Results
The value obtained for the total magnetic moment is 0.000 μB/cell. As for the calculated volume: 28.840 Å³ per atom.

No. 3
First-principles (SCAN) data for Ba3RuN at its PBEsol-relaxed geometry, as listed in the Alexandria database.

Cell and atoms, written as CIF:
```
data_Ba3RuN
_chemical_formula_sum 'Ba3 Ru1 N1'
_cell_length_a 5.347
_cell_length_b 5.347
_cell_length_c 5.347
_cell_angle_alpha 90.00
_cell_angle_beta 90.00
_cell_angle_gamma 90.00
_symmetry_space_group_name_H-M 'P m -3 m'
_symmetry_Int_Tables_number 221
_symmetry_space_group_name_Hall '-P 4 2 3'
loop_
_atom_site_label
_atom_site_type_symbol
_atom_site_fract_x
_atom_site_fract_y
_atom_site_fract_z
_atom_site_occupancy
Ba1 Ba 0.000 0.000 0.500 1
Ru1 Ru 0.500 0.500 0.500 1
N1 N 0.000 0.000 0.000 1
```

Results
The value obtained for the total magnetic moment is 1.277 μB/cell. As for the calculated volume: 30.572 Å³ per atom.

No. 4
First-principles (SCAN) data for CrHg2Ru at its PBEsol-relaxed geometry, as listed in the Alexandria database.

Cell and atoms, written as CIF:
```
data_CrHg2Ru
_chemical_formula_sum 'Cr4 Hg8 Ru4'
_cell_length_a 6.441
_cell_length_b 6.441
_cell_length_c 6.441
_cell_angle_alpha 90.00
_cell_angle_beta 90.00
_cell_angle_gamma 90.00
_symmetry_space_group_name_H-M 'F -4 3 m'
_symmetry_Int_Tables_number 216
_symmetry_space_group_name_Hall 'F -4 2 3'
loop_
_atom_site_label
_atom_site_type_symbol
_atom_site_fract_x
_atom_site_fract_y
_atom_site_fract_z
_atom_site_occupancy
Cr1 Cr 0.000 0.000 0.000 1
Hg1 Hg 0.000 0.000 0.500 1
Hg2 Hg 0.250 0.250 0.250 1
Ru1 Ru 0.250 0.250 0.750 1
```

Results
The value obtained for the total magnetic moment is 8.416 μB/cell. Its formation energy from the elements is 0.528 eV per atom. As for the calculated volume: 16.700 Å³ per atom.

Number 1: mass density 5.185 g cm⁻³, total energy -13.482 eV/atom. Number 2: mass density 5.341 g cm⁻³, total energy -31.282 eV/atom. Number 3: mass density 5.725 g cm⁻³, total energy -32.294 eV/atom. Number 4: mass density 13.778 g cm⁻³, total energy -46.858 eV/atom.